## CsDyFeO3 (PBE+U)

Data for a relaxed CsDyFeO3 crystal.

Calculated values
Electronic total energy: -6.483 eV/atom

a = 8.1501 Å, b = 3.5997 Å, c = 8.5834 Å
α = 90.00°, β = 109.47°, γ = 90.00°
Last column: nearest neighbours and their distance in Å.
Fractional positions:
Cs  0.2168  0.2500  0.2315  7 O 3.11-3.41
Cs  0.7832  0.7500  0.7685  7 O 3.11-3.41
Dy  0.3414  0.7500  0.8608  5 O 2.21-2.35
Dy  0.6586  0.2500  0.1392  5 O 2.21-2.35
Fe  0.0896  0.2500  0.6146  4 O 1.94-2.14
Fe  0.9104  0.7500  0.3854  4 O 1.94-2.14
O  0.1538  0.2500  0.8540  1 Fe 1.94
O  0.1726  0.7500  0.5525  3 Fe 2.05-2.14
O  0.4787  0.7500  0.1304  3 Dy 2.21-2.31
O  0.5213  0.2500  0.8696  3 Dy 2.21-2.31
O  0.8274  0.2500  0.4475  3 Fe 2.05-2.14
O  0.8462  0.7500  0.1460  1 Fe 1.94